[1]
The following is a DFT calculation (PBE) of an optimized crystal structure of Cu2Au2Br.

Calculated values
Relative energy among the computed polymorphs   0.000 eV per atom

POSCAR file:
```
Cu2Au2Br
1.0
7.3031 0.0000 0.0000
0.0000 7.3031 0.0000
0.0000 0.0000 3.3179
Cu Au Br
4 4 2
Direct
0.1536 0.3464 0.0000 Cu
0.3464 0.8464 0.0000 Cu
0.6536 0.1536 0.0000 Cu
0.8464 0.6536 0.0000 Cu
0.1381 0.6381 0.5000 Au
0.3619 0.1381 0.5000 Au
0.6381 0.8619 0.5000 Au
0.8619 0.3619 0.5000 Au
0.0000 0.0000 0.0000 Br
0.5000 0.5000 0.0000 Br
```

---

[2]
The following is a DFT calculation (PBE) of an optimized crystal structure of CuAuBr2.

Calculated values
Relative energy among the computed polymorphs   0.235 eV per atom

POSCAR file:
```
CuAuBr2
1.0
7.5366 0.0000 0.0000
0.0000 7.5079 0.0000
-2.9786 0.0000 3.8777
Cu Au Br
2 2 4
Direct
0.0000 0.0000 0.0000 Cu
0.5000 0.5000 0.0000 Cu
0.0000 0.5000 0.0000 Au
0.5000 0.0000 0.0000 Au
0.2500 0.2500 0.0000 Br
0.2500 0.7500 0.0000 Br
0.7500 0.2500 0.0000 Br
0.7500 0.7500 0.0000 Br
```

---

[3]
The following is a DFT calculation (PBE) of an optimized crystal structure of CuAuBr2.

Calculated values
Relative energy among the computed polymorphs   0.239 eV per atom

POSCAR file:
```
CuAuBr2
1.0
3.7629 0.0000 0.0000
0.0000 3.7629 0.0000
0.0000 0.0000 15.5867
Cu Au Br
2 2 4
Direct
0.0000 0.0000 0.0000 Cu
0.5000 0.5000 0.5000 Cu
0.0000 0.5000 0.7500 Au
0.5000 0.0000 0.2500 Au
0.0000 0.0000 0.5000 Br
0.0000 0.5000 0.2500 Br
0.5000 0.0000 0.7500 Br
0.5000 0.5000 0.0000 Br
```

---

[4]
The following is a DFT calculation (PBE) of an optimized crystal structure of CuAuBr3.

Calculated values
Relative energy among the computed polymorphs   0.387 eV per atom

POSCAR file:
```
CuAuBr3
1.0
5.0200 0.0000 0.0000
0.0000 5.0200 0.0000
0.0000 0.0000 5.0200
Cu Au Br
1 1 3
Direct
0.0000 0.0000 0.0000 Cu
0.5000 0.5000 0.5000 Au
0.0000 0.0000 0.5000 Br
0.0000 0.5000 0.0000 Br
0.5000 0.0000 0.0000 Br
```

---

[5]
The following is a DFT calculation (PBE) of an optimized crystal structure of Cu2Au2Br7.

Calculated values
Relative energy among the computed polymorphs   0.041 eV per atom

POSCAR file:
```
Cu2Au2Br7
1.0
3.8483 -6.2587 0.0000
3.8483 6.2587 0.0000
-0.2805 0.0000 7.5420
Cu Au Br
2 2 7
Direct
0.1978 0.1978 0.3866 Cu
0.8022 0.8022 0.6134 Cu
0.1685 0.8315 0.0000 Au
0.8315 0.1685 0.0000 Au
0.0991 0.4235 0.1986 Br
0.1132 0.1132 0.6978 Br
0.4235 0.0991 0.1986 Br
0.5000 0.5000 0.5000 Br
0.5765 0.9009 0.8014 Br
0.8868 0.8868 0.3022 Br
0.9009 0.5765 0.8014 Br
```

---

[6]
The following is a DFT calculation (PBE) of an optimized crystal structure of CuAuBr4.

POSCAR file:
```
CuAuBr4
1.0
0.0000 4.3587 4.3587
4.3587 0.0000 4.3587
4.3587 4.3587 0.0000
Cu Au Br
1 1 4
Direct
0.0000 0.0000 0.0000 Cu
0.7500 0.7500 0.7500 Au
0.3758 0.3758 0.3758 Br
0.3758 0.3758 0.8727 Br
0.3758 0.8727 0.3758 Br
0.8727 0.3758 0.3758 Br
```

---

| no. | uncorrected energy (eV/atom) | formation energy (no corrections) (eV per atom) |
| --- | --- | --- |
| 1 | -3.098 | 0.186 |
| 2 | -2.555 | 0.125 |
| 3 | -2.550 | 0.130 |
| 4 | -2.232 | 0.246 |
| 5 | -2.554 | -0.149 |
| 6 | -1.358 | 0.986 |